[1]
DFT (GGA-PBE) results for a geometry-optimized BaMn2Rh structure.

Lattice parameters (Å, degrees): 7.0442 7.0442 7.0442 151.48 144.96 45.78
Closest atoms and distances in Å follow each position.
Fractional coordinates of all 4 atoms:
Ba 0.3043 0.8043 0.5000  2 Rh 3.26, 6 Mn 3.36-3.56, 2 Ba 3.47
Mn 0.0244 0.0244 0.0000  2 Mn 2.71, 4 Rh 2.74
Mn 0.6547 0.1547 0.5000  2 Rh 2.50, 2 Mn 2.71
Rh 0.5166 0.5166 0.0000  6 Mn 2.50-2.74

Summary:
E_tot = -6.48 eV/atom

=====

[2]
DFT (GGA-PBE) results for a geometry-optimized MoBr structure.

Lattice parameters (Å, degrees): 3.0878 3.0878 4.3383 90.00 90.00 120.00
Closest atoms and distances in Å follow each position.
Fractional coordinates of all 2 atoms:
Br 0.0000 0.0000 0.0000  6 Mo 2.81, 6 Br 3.09
Mo 0.6667 0.3333 0.5000  6 Br 2.81, 6 Mo 3.09

Summary:
E_tot = -5.29 eV/atom
E_form (uncorrected) = 0.96 eV/atom
Polymorph energy (0 for the lowest one) = 99.5 kJ/mol of atoms

=====

[3]
DFT (GGA-PBE) results for a geometry-optimized Ba2HgSb structure.

Lattice parameters (Å, degrees): 7.7836 7.7836 7.7836 149.24 62.58 126.95
Closest atoms and distances in Å follow each position.
Fractional coordinates of all 4 atoms:
Ba 0.2538 0.0000 0.2538  1 Hg 3.28, 1 Sb 3.38
Ba 0.7462 0.0000 0.7462  1 Hg 3.28, 1 Sb 3.38
Hg 0.5000 0.0000 0.5000  2 Ba 3.28
Sb 0.0000 0.0000 0.0000  2 Ba 3.38

Summary:
E_tot = -1.93 eV/atom
E_form (uncorrected) = 0.13 eV/atom
Polymorph energy (0 for the lowest one) = 90.3 kJ/mol of atoms

=====

[4]
DFT (GGA-PBE) results for a geometry-optimized CeSm4Ir3 structure.

Lattice parameters (Å, degrees): 6.2846 8.2130 8.2657 83.83 75.08 74.93
Closest atoms and distances in Å follow each position.
Fractional coordinates of all 16 atoms:
Sm 0.9609 0.8745 0.2970  4 Ir 2.92-3.20
Sm 0.0391 0.1255 0.7030  4 Ir 2.92-3.20
Sm 0.4553 0.2995 0.8774  5 Ir 2.93-3.17
Sm 0.5447 0.7005 0.1226  5 Ir 2.93-3.17
Sm 0.6166 0.8845 0.7056  4 Ir 2.93-3.08
Sm 0.8799 0.2909 0.1224  5 Ir 2.93-3.24
Sm 0.3834 0.1155 0.2944  4 Ir 2.93-3.08
Sm 0.1201 0.7091 0.8776  5 Ir 2.93-3.24
Ir 0.7495 0.0000 0.0003  8 Sm 2.92-3.08, 2 Ir 3.14-3.15
Ir 0.6407 0.2099 0.5084  2 Ce 2.70-2.99, 2 Sm 2.96-2.99
Ir 0.2505 0.0000 0.9997  8 Sm 2.92-3.08, 2 Ir 3.14-3.15
Ir 0.1506 0.5094 0.1906  2 Ce 2.73-3.06, 2 Sm 2.93-2.96
Ir 0.8494 0.4906 0.8094  2 Ce 2.73-3.06, 2 Sm 2.93-2.96
Ir 0.3592 0.7901 0.4917  2 Ce 2.70-2.99, 2 Sm 2.96-2.99
Ce 0.7623 0.5029 0.5007  3 Ir 2.70-2.99, 1 Ce 2.97
Ce 0.2377 0.4971 0.4993  3 Ir 2.70-2.99, 1 Ce 2.97

Summary:
E_tot = -7.06 eV/atom

=====

[5]
DFT (GGA-PBE) results for a geometry-optimized Rb2HgF5 structure.

Lattice parameters (Å, degrees): 6.7928 8.2046 10.8718 90.00 90.00 90.00
Closest atoms and distances in Å follow each position.
Fractional coordinates of all 32 atoms:
Rb 0.0689 0.5071 0.3356  9 F 2.86-3.11
Rb 0.0689 0.9929 0.3356  9 F 2.86-3.11
Rb 0.9311 0.4929 0.6644  9 F 2.86-3.11
Rb 0.9311 0.0071 0.6644  9 F 2.86-3.11
Rb 0.5689 0.4929 0.1644  9 F 2.86-3.11
Rb 0.4311 0.9929 0.8356  9 F 2.86-3.11
Rb 0.5689 0.0071 0.1644  9 F 2.86-3.11
Rb 0.4311 0.5071 0.8356  9 F 2.86-3.11
F 0.0806 0.7500 0.8256  1 Hg 2.11
F 0.6841 0.0580 0.4381  1 Hg 2.28
F 0.8159 0.4420 0.9381  1 Hg 2.28
F 0.3159 0.9420 0.5619  1 Hg 2.28
F 0.8159 0.0580 0.9381  1 Hg 2.28
F 0.8617 0.7500 0.4730  1 Hg 2.21
F 0.8639 0.7500 0.1894  1 Hg 2.11
F 0.6361 0.7500 0.6894  1 Hg 2.11
F 0.3639 0.2500 0.3106  1 Hg 2.11
F 0.1383 0.2500 0.5270  1 Hg 2.21
F 0.5806 0.2500 0.6744  1 Hg 2.11
F 0.3159 0.5580 0.5619  1 Hg 2.28
F 0.1841 0.9420 0.0619  1 Hg 2.28
F 0.1361 0.2500 0.8106  1 Hg 2.11
F 0.9194 0.2500 0.1744  1 Hg 2.11
F 0.3617 0.2500 0.0270  1 Hg 2.21
F 0.6383 0.7500 0.9730  1 Hg 2.21
F 0.4194 0.7500 0.3256  1 Hg 2.11
F 0.1841 0.5580 0.0619  1 Hg 2.28
F 0.6841 0.4420 0.4381  1 Hg 2.28
Hg 0.4599 0.2500 0.4955  5 F 2.11-2.28
Hg 0.9599 0.7500 0.0045  5 F 2.11-2.28
Hg 0.5401 0.7500 0.5045  5 F 2.11-2.28
Hg 0.0401 0.2500 0.9955  5 F 2.11-2.28

Summary:
E_tot = -3.43 eV/atom
E_form (uncorrected) = -1.98 eV/atom
Polymorph energy (0 for the lowest one) = 0.0 kJ/mol of atoms

=====

[6]
DFT (GGA-PBE) results for a geometry-optimized Pr2NpCdO6 structure.

Lattice parameters (Å, degrees): 5.8207 6.0600 8.9013 90.00 88.01 90.00
Closest atoms and distances in Å follow each position.
Fractional coordinates of all 20 atoms:
O 0.7949 0.8048 0.5687  1 Np 2.19, 1 Cd 2.27, 1 Pr 2.43
O 0.2949 0.6952 0.0687  1 Np 2.19, 1 Cd 2.27, 1 Pr 2.43
O 0.1968 0.2115 0.0915  1 Np 2.26, 1 Cd 2.31, 1 Pr 2.38
O 0.1486 0.4222 0.7697  1 Np 2.25, 2 Pr 2.36-2.46
O 0.8032 0.7885 0.9085  1 Np 2.26, 1 Cd 2.31, 1 Pr 2.38
O 0.2051 0.1952 0.4313  1 Np 2.19, 1 Cd 2.27, 1 Pr 2.43
O 0.3514 0.9222 0.7303  1 Np 2.25, 2 Pr 2.36-2.46
O 0.6968 0.2885 0.5915  1 Np 2.26, 1 Cd 2.31, 1 Pr 2.38
O 0.8514 0.5778 0.2303  1 Np 2.25, 2 Pr 2.36-2.46
O 0.6486 0.0778 0.2697  1 Np 2.25, 2 Pr 2.36-2.46
O 0.7051 0.3048 0.9313  1 Np 2.19, 1 Cd 2.27, 1 Pr 2.43
O 0.3032 0.7115 0.4085  1 Np 2.26, 1 Cd 2.31, 1 Pr 2.38
Pr 0.4714 0.4434 0.2432  5 O 2.36-2.55
Pr 0.0286 0.9434 0.2568  5 O 2.36-2.55
Pr 0.5286 0.5566 0.7568  5 O 2.36-2.55
Pr 0.9714 0.0566 0.7432  5 O 2.36-2.55
Np 0.5000 0.0000 0.5000  6 O 2.19-2.26
Np 0.0000 0.5000 0.0000  6 O 2.19-2.26
Cd 0.5000 0.0000 0.0000  4 O 2.27-2.31
Cd 0.0000 0.5000 0.5000  4 O 2.27-2.31

Summary:
E_tot = -8.03 eV/atom
E_form (uncorrected) = -2.72 eV/atom

=====

[7]
DFT (GGA-PBE) results for a geometry-optimized LaAg2Sn2 structure.

Lattice parameters (Å, degrees): 4.8178 6.2100 9.2576 92.36 74.85 67.65
Closest atoms and distances in Å follow each position.
Fractional coordinates of all 10 atoms:
Ag 0.8322 0.2156 0.1156  4 Sn 2.84-3.03, 3 Ag 2.97-3.04
Ag 0.6895 0.9133 0.7084  3 Sn 2.84-2.86, 2 Ag 3.02-3.04
Ag 0.3105 0.0867 0.2916  3 Sn 2.84-2.86, 2 Ag 3.02-3.04
Ag 0.1678 0.7844 0.8844  4 Sn 2.84-3.03, 3 Ag 2.97-3.04
La 0.0135 0.6714 0.3021  7 Sn 3.32-3.71, 4 Ag 3.34-3.68
La 0.9865 0.3286 0.6979  7 Sn 3.32-3.71, 4 Ag 3.34-3.68
Sn 0.6535 0.2562 0.4379  3 Ag 2.84-2.85, 1 Sn 2.85
Sn 0.6271 0.7109 0.0393  4 Ag 2.84-3.03
Sn 0.3465 0.7438 0.5621  3 Ag 2.84-2.85, 1 Sn 2.85
Sn 0.3729 0.2891 0.9607  4 Ag 2.84-3.03

Summary:
E_tot = -4.14 eV/atom

=====

[8]
DFT (GGA-PBE) results for a geometry-optimized Ta2CdAg structure.

Lattice parameters (Å, degrees): 5.0588 2.8026 5.3365 79.26 90.00 90.00
Closest atoms and distances in Å follow each position.
Fractional coordinates of all 4 atoms:
Ta 0.0000 0.0045 0.0025  4 Ta 2.76-2.80, 2 Ag 2.99, 2 Cd 3.01
Ta 0.0000 0.4955 0.4975  4 Ta 2.76-2.80, 2 Ag 2.99, 2 Cd 3.01
Ag 0.5000 0.2500 0.2500  2 Cd 2.77, 2 Ag 2.80, 4 Ta 2.99
Cd 0.5000 0.7500 0.7500  2 Ag 2.77, 2 Cd 2.80, 4 Ta 3.01

Summary:
E_tot = -6.51 eV/atom